# 1
VASP calculation (PBE) on a geometry-optimized PrRuO4 structure.

a = 7.705 Å, b = 5.529 Å, c = 7.621 Å
α = 90.00°, β = 101.45°, γ = 90.00°
Fractional coordinates of all 24 atoms:
Pr  0.155  0.218  0.402
Pr  0.155  0.282  0.902
Pr  0.845  0.718  0.098
Pr  0.845  0.782  0.598
Ru  0.341  0.731  0.207
Ru  0.341  0.769  0.707
Ru  0.659  0.231  0.293
Ru  0.659  0.269  0.793
O  0.119  0.521  0.175
O  0.119  0.979  0.675
O  0.176  0.506  0.631
O  0.176  0.994  0.131
O  0.337  0.649  0.952
O  0.337  0.851  0.452
O  0.456  0.067  0.797
O  0.456  0.433  0.297
O  0.544  0.567  0.703
O  0.544  0.933  0.203
O  0.663  0.149  0.548
O  0.663  0.351  0.048
O  0.824  0.006  0.869
O  0.824  0.494  0.369
O  0.881  0.021  0.325
O  0.881  0.479  0.825

Output
SG: P2_1/c, No. 14
DFT total energy, Ha/atom: -0.278
E_form (uncorrected), eV per atom: -1.923
Energy relative to the lowest polymorph listed for this composition, eV per formula unit: 0.00
N(E_F), states/eV per cell: 14.2

# 2
VASP calculation (PBE) on a geometry-optimized Pr6Ru2O structure.

a = 6.636 Å, b = 7.363 Å, c = 11.802 Å
α = 90.00°, β = 123.23°, γ = 90.00°
Fractional coordinates of all 18 atoms:
Pr  0.112  0.047  0.243
Pr  0.112  0.453  0.743
Pr  0.239  0.682  0.067
Pr  0.239  0.818  0.567
Pr  0.379  0.168  0.063
Pr  0.379  0.332  0.563
Pr  0.621  0.668  0.437
Pr  0.621  0.832  0.937
Pr  0.761  0.182  0.433
Pr  0.761  0.318  0.933
Pr  0.888  0.547  0.257
Pr  0.888  0.953  0.757
Ru  0.298  0.104  0.757
Ru  0.298  0.396  0.257
Ru  0.702  0.604  0.743
Ru  0.702  0.896  0.243
O  0.000  0.000  0.000
O  0.000  0.500  0.500

Output
SG: P2_1/c, No. 14
DFT total energy, Ha/atom: -0.240
E_form (uncorrected), eV per atom: -0.727
N(E_F), states/eV per cell: 16.1

no.,total moment (μB/f.u.)
1,0.67
2,0.00